Crystalline GaSbP2S at its relaxed geometry. Source: the Alexandria database, functional PBE. Values from VASP.

Distance to the lowest polymorph of the same formula ... 0.00 eV per formula unit
DOS(E_F) ... 4.85 states/eV/cell
Space group ... P4/mmm (123)
Energy ... -3.79 eV per atom

Structure (Quantum ESPRESSO input):
```
&SYSTEM
  ibrav = 0, nat = 5, ntyp = 4
/
ATOMIC_SPECIES
Ga 69.72 Ga.upf
Sb 121.76 Sb.upf
P 30.97 P.upf
S 32.06 S.upf
CELL_PARAMETERS angstrom
4.741 0.000 0.000
0.000 4.741 0.000
0.000 0.000 4.649
ATOMIC_POSITIONS crystal
Ga 0.000 0.000 0.000
Sb 0.500 0.500 0.500
P 0.000 0.500 0.000
P 0.500 0.000 0.000
S 0.000 0.000 0.500
```

---

Crystalline GaSbPS2 at its relaxed geometry. Source: the Alexandria database, functional PBE. Values from VASP.

Distance to the lowest polymorph of the same formula ... 0.00 eV per formula unit
DOS(E_F) ... 2.56 states/eV/cell
Space group ... P4/mmm (123)
Energy ... -3.74 eV per atom

Structure (Quantum ESPRESSO input):
```
&SYSTEM
  ibrav = 0, nat = 5, ntyp = 4
/
ATOMIC_SPECIES
Ga 69.72 Ga.upf
Sb 121.76 Sb.upf
P 30.97 P.upf
S 32.06 S.upf
CELL_PARAMETERS angstrom
4.704 0.000 0.000
0.000 4.704 0.000
0.000 0.000 4.704
ATOMIC_POSITIONS crystal
Ga 0.000 0.000 0.000
Sb 0.500 0.500 0.500
P 0.000 0.000 0.500
S 0.000 0.500 0.000
S 0.500 0.000 0.000
```

---

Crystalline GaPSeS at its relaxed geometry. Source: the Alexandria database, functional PBE. Values from VASP.

Distance to the lowest polymorph of the same formula ... 0.12 eV per formula unit
DOS(E_F) ... 0.23 states/eV/cell
Space group ... Cm (8)
Energy ... -4.25 eV per atom

Structure (Quantum ESPRESSO input):
```
&SYSTEM
  ibrav = 0, nat = 8, ntyp = 4
/
ATOMIC_SPECIES
Ga 69.72 Ga.upf
P 30.97 P.upf
Se 78.96 Se.upf
S 32.06 S.upf
CELL_PARAMETERS angstrom
13.622 0.000 0.000
0.000 3.535 0.000
-0.496 0.000 4.040
ATOMIC_POSITIONS crystal
Ga 0.000 0.000 0.000
Ga 0.500 0.500 0.000
P 0.100 0.000 0.552
P 0.600 0.500 0.552
Se 0.211 0.500 0.674
Se 0.711 0.000 0.674
S 0.403 0.000 0.069
S 0.903 0.500 0.069
```

---

Crystalline GaPSeS at its relaxed geometry. Source: the Alexandria database, functional PBE. Values from VASP.

Distance to the lowest polymorph of the same formula ... 0.88 eV per formula unit
DOS(E_F) ... 2.56 states/eV/cell
Space group ... Cm (8)
Energy ... -4.06 eV per atom

Structure (Quantum ESPRESSO input):
```
&SYSTEM
  ibrav = 0, nat = 8, ntyp = 4
/
ATOMIC_SPECIES
Ga 69.72 Ga.upf
P 30.97 P.upf
Se 78.96 Se.upf
S 32.06 S.upf
CELL_PARAMETERS angstrom
10.549 0.000 0.000
0.000 3.591 0.000
-0.890 0.000 5.131
ATOMIC_POSITIONS crystal
Ga 0.000 0.000 0.000
Ga 0.500 0.500 0.000
P 0.273 0.000 0.544
P 0.773 0.500 0.544
Se 0.057 0.000 0.517
Se 0.557 0.500 0.517
S 0.335 0.000 0.952
S 0.835 0.500 0.952
```

---

Crystalline GaPSeS at its relaxed geometry. Source: the Alexandria database, functional PBE. Values from VASP.

Distance to the lowest polymorph of the same formula ... 0.55 eV per formula unit
DOS(E_F) ... 0.92 states/eV/cell
Space group ... P1 (1)
Energy ... -4.14 eV per atom

Structure (Quantum ESPRESSO input):
```
&SYSTEM
  ibrav = 0, nat = 4, ntyp = 4
/
ATOMIC_SPECIES
Ga 69.72 Ga.upf
P 30.97 P.upf
Se 78.96 Se.upf
S 32.06 S.upf
CELL_PARAMETERS angstrom
3.598 0.000 0.000
-1.799 3.116 0.000
-0.183 -0.177 8.500
ATOMIC_POSITIONS crystal
Ga 0.000 0.000 0.000
P 0.650 0.322 0.806
Se 0.630 0.308 0.561
S 0.344 0.675 0.139
```

---

Crystalline GaPSeS at its relaxed geometry. Source: the Alexandria database, functional PBE. Values from VASP.

Distance to the lowest polymorph of the same formula ... 1.22 eV per formula unit
DOS(E_F) ... 0.96 states/eV/cell
Space group ... Pm (6)
Energy ... -3.98 eV per atom

Structure (Quantum ESPRESSO input):
```
&SYSTEM
  ibrav = 0, nat = 4, ntyp = 4
/
ATOMIC_SPECIES
Ga 69.72 Ga.upf
P 30.97 P.upf
Se 78.96 Se.upf
S 32.06 S.upf
CELL_PARAMETERS angstrom
3.917 0.000 0.000
0.000 5.330 0.000
-0.259 0.000 3.919
ATOMIC_POSITIONS crystal
Ga 0.000 0.000 0.000
P 0.128 0.500 0.002
Se 0.545 0.000 0.470
S 0.453 0.500 0.436
```

---

> Which of these has the highest DOS(E_F)?

GaSbP2S